Record 1
A plane-wave DFT calculation with PBE-GGA was carried out for an optimized crystal structure of ZrSn3O.

ΔE to the lowest computed polymorph = 1.092 eV per atom
energy relative to the elements, uncorrected = 742 meV per atom

Lattice parameters (Å, degrees): 5.565 5.565 5.565 90.00 90.00 90.00
Space group Pm-3m (No. 221)
Asymmetric unit:
1 Zr 0.000 0.000 0.000
2 Sn 0.000 0.000 0.500
3 O 0.500 0.500 0.500



Record 2
A plane-wave DFT calculation with PBE-GGA was carried out for an optimized crystal structure of Y2ScW.

DFT formation energy = 0.84 eV per atom
ΔE to the lowest computed polymorph = 0.543 eV per atom

Lattice parameters (Å, degrees): 8.187 8.187 6.138 90.00 90.00 90.00
Space group I-42d (No. 122)
Asymmetric unit:
1 Y 0.220 0.250 0.125
2 Sc 0.000 0.000 0.500
3 W 0.000 0.000 0.000



Record 3
A plane-wave DFT calculation with PBE-GGA was carried out for an optimized crystal structure of LaTb3Ru4.

DFT formation energy = -0.24 eV per atom

Lattice parameters (Å, degrees): 4.8664 4.8664 23.9246 90.00 90.00 120.00
Space group R-3m (No. 166, hexagonal axes)
Asymmetric unit:
1 La 0.0000 0.0000 0.0000
2 Tb 0.0000 0.0000 0.2476
3 Tb 0.0000 0.0000 0.5000
4 Ru 0.0000 0.0000 0.1258
5 Ru 0.0000 0.0000 0.3754



| no. | volume (Å³ per atom) | electronic total energy (eV per cell) |
| --- | --- | --- |
| 1 | 34.47 | -21.8 |
| 2 | 25.72 | -115.3 |
| 3 | 20.44 | -173.5 |